Record 1
# Tb2PrSc PBE optimized geometry
data_Tb2PrSc
_chemical_formula_sum 'Tb6 Pr3 Sc3'
_space_group_name_H-M_alt 'R -3 m'
_space_group_IT_number 166
_space_group_name_Hall '-R 3 2"'
_cell_length_a 3.5370
_cell_length_b 3.5370
_cell_length_c 34.3415
_cell_angle_alpha 90.00
_cell_angle_beta 90.00
_cell_angle_gamma 120.00
loop_
_atom_site_label
_atom_site_type_symbol
_atom_site_fract_x
_atom_site_fract_y
_atom_site_fract_z
Tb1 Tb 0.0000 0.0000 0.2453
Pr1 Pr 0.0000 0.0000 0.0000
Sc1 Sc 0.0000 0.0000 0.5000
# Calculated total energy   -5.0419 eV per atom
# ΔH_f (0 K)   51.0 meV/atom
# ΔE to the lowest computed polymorph   20.7 meV/atom

***

Record 2
# CoMo2PdN PBE optimized geometry
data_CoMo2PdN
_chemical_formula_sum 'Co1 Mo2 Pd1 N1'
_space_group_name_H-M_alt 'P 4/m m m'
_space_group_IT_number 123
_space_group_name_Hall '-P 4 2'
_cell_length_a 4.094
_cell_length_b 4.094
_cell_length_c 3.836
_cell_angle_alpha 90.00
_cell_angle_beta 90.00
_cell_angle_gamma 90.00
loop_
_atom_site_label
_atom_site_type_symbol
_atom_site_fract_x
_atom_site_fract_y
_atom_site_fract_z
Co1 Co 0.000 0.000 0.000
Mo1 Mo 0.000 0.500 0.500
Pd1 Pd 0.500 0.500 0.000
N1 N 0.000 0.000 0.500
# Calculated total energy   -8.5403 eV per atom

***

Record 3
# Er5Al2Hg PBE optimized geometry
data_Er5Al2Hg
_chemical_formula_sum 'Er20 Al8 Hg4'
_space_group_name_H-M_alt 'I 4/m c m'
_space_group_IT_number 140
_space_group_name_Hall '-I 4 2c'
_cell_length_a 7.602
_cell_length_b 7.602
_cell_length_c 14.654
_cell_angle_alpha 90.00
_cell_angle_beta 90.00
_cell_angle_gamma 90.00
loop_
_atom_site_label
_atom_site_type_symbol
_atom_site_fract_x
_atom_site_fract_y
_atom_site_fract_z
Er1 Er 0.000 0.000 0.000
Er2 Er 0.169 0.331 0.147
Al1 Al 0.122 0.378 0.500
Hg1 Hg 0.000 0.000 0.250
# Calculated total energy   -4.1502 eV per atom
# ΔH_f (0 K)   -325.1 meV/atom

***

Record 4
# DyEr2Te PBE optimized geometry
data_DyEr2Te
_chemical_formula_sum 'Dy3 Er6 Te3'
_space_group_name_H-M_alt 'R -3 m'
_space_group_IT_number 166
_space_group_name_Hall '-R 3 2"'
_cell_length_a 3.7630
_cell_length_b 3.7630
_cell_length_c 32.3517
_cell_angle_alpha 90.00
_cell_angle_beta 90.00
_cell_angle_gamma 120.00
loop_
_atom_site_label
_atom_site_type_symbol
_atom_site_fract_x
_atom_site_fract_y
_atom_site_fract_z
Dy1 Dy 0.0000 0.0000 0.0000
Er1 Er 0.0000 0.0000 0.1025
Te1 Te 0.0000 0.0000 0.5000
# Calculated total energy   -4.3901 eV per atom
# ΔE to the lowest computed polymorph   462.6 meV/atom

***

Record 5
# TePt2W PBE optimized geometry
data_TePt2W
_chemical_formula_sum 'Te1 Pt2 W1'
_space_group_name_H-M_alt 'P m m m'
_space_group_IT_number 47
_space_group_name_Hall '-P 2 2'
_cell_length_a 2.862
_cell_length_b 3.782
_cell_length_c 6.874
_cell_angle_alpha 90.00
_cell_angle_beta 90.00
_cell_angle_gamma 90.00
loop_
_atom_site_label
_atom_site_type_symbol
_atom_site_fract_x
_atom_site_fract_y
_atom_site_fract_z
Te1 Te 0.000 0.000 0.000
Pt1 Pt 0.500 0.500 0.294
W1 W 0.000 0.000 0.500
# Calculated total energy   -6.8524 eV per atom

***

Record 6
# UAl3Au10 PBE optimized geometry
data_UAl3Au10
_chemical_formula_sum 'U8 Al24 Au80'
_space_group_name_H-M_alt 'F m -3 m'
_space_group_IT_number 225
_space_group_name_Hall '-F 4 2 3'
_cell_length_a 13.022
_cell_length_b 13.022
_cell_length_c 13.022
_cell_angle_alpha 90.00
_cell_angle_beta 90.00
_cell_angle_gamma 90.00
loop_
_atom_site_label
_atom_site_type_symbol
_atom_site_fract_x
_atom_site_fract_y
_atom_site_fract_z
U1 U 0.250 0.250 0.250
Al1 Al 0.000 0.000 0.235
Au1 Au 0.000 0.172 0.328
Au2 Au 0.117 0.117 0.117
# Calculated total energy   -4.0839 eV per atom
# ΔH_f (0 K)   -134.6 meV/atom

***

Record 7
# ThBeB4 PBE optimized geometry
data_ThBeB4
_chemical_formula_sum 'Th4 Be4 B16'
_space_group_name_H-M_alt 'C m m m'
_space_group_IT_number 65
_space_group_name_Hall '-C 2 2'
_cell_length_a 7.364
_cell_length_b 9.464
_cell_length_c 3.614
_cell_angle_alpha 90.00
_cell_angle_beta 90.00
_cell_angle_gamma 90.00
loop_
_atom_site_label
_atom_site_type_symbol
_atom_site_fract_x
_atom_site_fract_y
_atom_site_fract_z
Th1 Th 0.000 0.199 0.000
Be1 Be 0.174 0.500 0.000
B1 B 0.000 0.411 0.500
B2 B 0.128 0.000 0.500
B3 B 0.221 0.344 0.500
# Calculated total energy   -6.6644 eV per atom
# ΔH_f (0 K)   -355.1 meV/atom

***

Record 8
# PmEr4Sc15 PBE optimized geometry
data_PmEr4Sc15
_chemical_formula_sum 'Pm1 Er4 Sc15'
_space_group_name_H-M_alt 'P 4/m m m'
_space_group_IT_number 123
_space_group_name_Hall '-P 4 2'
_cell_length_a 4.707
_cell_length_b 4.707
_cell_length_c 23.535
_cell_angle_alpha 90.00
_cell_angle_beta 90.00
_cell_angle_gamma 90.00
loop_
_atom_site_label
_atom_site_type_symbol
_atom_site_fract_x
_atom_site_fract_y
_atom_site_fract_z
Pm1 Pm 0.000 0.000 0.000
Er1 Er 0.000 0.000 0.201
Er2 Er 0.000 0.000 0.400
Sc1 Sc 0.000 0.500 0.101
Sc2 Sc 0.000 0.500 0.301
Sc3 Sc 0.000 0.500 0.500
Sc4 Sc 0.500 0.500 0.000
Sc5 Sc 0.500 0.500 0.201
Sc6 Sc 0.500 0.500 0.400
# Calculated total energy   -5.8410 eV per atom
# ΔH_f (0 K)   57.8 meV/atom

***

Record 9
# La2AgMo PBE optimized geometry
data_La2AgMo
_chemical_formula_sum 'La4 Ag2 Mo2'
_space_group_name_H-M_alt 'C 1 2/m 1'
_space_group_IT_number 12
_space_group_name_Hall '-C 2y'
_cell_length_a 6.603
_cell_length_b 3.259
_cell_length_c 9.701
_cell_angle_alpha 90.00
_cell_angle_beta 95.31
_cell_angle_gamma 90.00
loop_
_atom_site_label
_atom_site_type_symbol
_atom_site_fract_x
_atom_site_fract_y
_atom_site_fract_z
La1 La 0.245 0.000 0.269
Ag1 Ag 0.000 0.500 0.000
Mo1 Mo 0.000 0.000 0.500
# Calculated total energy   -5.5057 eV per atom
# ΔH_f (0 K)   378.6 meV/atom
# ΔE to the lowest computed polymorph   199.0 meV/atom

***

Record 10
# CaPrAs2Pd2 PBE optimized geometry
data_CaPrAs2Pd2
_chemical_formula_sum 'Ca1 Pr1 As2 Pd2'
_space_group_name_H-M_alt 'P -3 m 1'
_space_group_IT_number 164
_space_group_name_Hall '-P 3 2"'
_cell_length_a 4.3247
_cell_length_b 4.3247
_cell_length_c 8.1178
_cell_angle_alpha 90.00
_cell_angle_beta 90.00
_cell_angle_gamma 120.00
loop_
_atom_site_label
_atom_site_type_symbol
_atom_site_fract_x
_atom_site_fract_y
_atom_site_fract_z
Ca1 Ca 0.0000 0.0000 0.0000
Pr1 Pr 0.0000 0.0000 0.5000
As1 As 0.3333 0.6667 0.2563
Pd1 Pd 0.3333 0.6667 0.7566
# Calculated total energy   -5.4973 eV per atom
# ΔH_f (0 K)   -1086.3 meV/atom

***

Record 11
# TaTcMo4 PBE optimized geometry
data_TaTcMo4
_chemical_formula_sum 'Ta4 Tc4 Mo16'
_space_group_name_H-M_alt 'F -4 3 m'
_space_group_IT_number 216
_space_group_name_Hall 'F -4 2 3'
_cell_length_a 7.361
_cell_length_b 7.361
_cell_length_c 7.361
_cell_angle_alpha 90.00
_cell_angle_beta 90.00
_cell_angle_gamma 90.00
loop_
_atom_site_label
_atom_site_type_symbol
_atom_site_fract_x
_atom_site_fract_y
_atom_site_fract_z
Ta1 Ta 0.000 0.000 0.000
Tc1 Tc 0.250 0.250 0.750
Mo1 Mo 0.126 0.126 0.374
# Calculated total energy   -10.6734 eV per atom
# ΔH_f (0 K)   250.4 meV/atom
# ΔE to the lowest computed polymorph   319.5 meV/atom

***

Record 12
# Sm14HoAl PBE optimized geometry
data_Sm14HoAl
_chemical_formula_sum 'Sm28 Ho2 Al2'
_space_group_name_H-M_alt 'A m m 2'
_space_group_IT_number 38
_space_group_name_Hall 'A 2 -2'
_cell_length_a 11.217
_cell_length_b 8.374
_cell_length_c 11.081
_cell_angle_alpha 90.00
_cell_angle_beta 90.00
_cell_angle_gamma 90.00
loop_
_atom_site_label
_atom_site_type_symbol
_atom_site_fract_x
_atom_site_fract_y
_atom_site_fract_z
Sm1 Sm 0.000 0.000 0.000
Sm2 Sm 0.000 0.000 0.433
Sm3 Sm 0.000 0.212 0.716
Sm4 Sm 0.242 0.000 0.796
Sm5 Sm 0.266 0.000 0.232
Sm6 Sm 0.268 0.206 0.510
Sm7 Sm 0.500 0.212 0.729
Ho1 Ho 0.500 0.000 0.000
Al1 Al 0.500 0.000 0.446
# Calculated total energy   -4.6289 eV per atom
# ΔH_f (0 K)   20.3 meV/atom